1.
# Zr2BeTe

An optimized crystal structure of Zr2BeTe (PBE, Alexandria via LeMat-Bulk).

It has space group I-42d (No. 122), with a = 5.996 Å, b = 5.996 Å, c = 12.167 Å, α = 90.00°, β = 90.00° and γ = 90.00°. The distinct sites, in fractional coordinates, are Zr at (0.178, 0.250, 0.125), Be at (0.000, 0.000, 0.000) and Te at (0.000, 0.000, 0.500).

As for the excess energy over the best structure of this formula in the dataset: 866 meV per atom. As for the final energy: -5.55 eV/atom. As for the spin magnetization: 0.0 μB per formula unit. As for the mass density: 4845 kg/m³.

---

2.
# ZnInPt6

An optimized crystal structure of ZnInPt6 (PBE, Alexandria via LeMat-Bulk).

It has space group P4/mmm (No. 123), with a = 3.993 Å, b = 3.993 Å, c = 7.971 Å, α = 90.00°, β = 90.00° and γ = 90.00°. The distinct sites, in fractional coordinates, are Zn at (0.000, 0.000, 0.000), In at (0.000, 0.000, 0.500), Pt at (0.000, 0.500, 0.240), Pt at (0.500, 0.500, 0.000) and Pt at (0.500, 0.500, 0.500).

As for the final energy: -5.38 eV/atom. The value obtained for the energy relative to the elements is -0.35 eV/atom. As for the spin magnetization: 0.0 μB per formula unit. As for the mass density: 17647 kg/m³.

---

3.
# Rb2BeBr4

An optimized crystal structure of Rb2BeBr4 (PBE, Alexandria via LeMat-Bulk).

It has space group P2_1/m (No. 11), with a = 7.242 Å, b = 7.290 Å, c = 9.993 Å, α = 90.00°, β = 107.40° and γ = 90.00°. The distinct sites, in fractional coordinates, are Rb at (0.200, 0.250, 0.424), Rb at (0.290, 0.250, 0.964), Be at (0.311, 0.750, 0.219), Br at (0.098, 0.750, 0.339), Br at (0.173, 0.750, 0.990) and Br at (0.497, 0.009, 0.724).

As for the excess energy over the best structure of this formula in the dataset: 0 meV per atom. As for the final energy: -3.25 eV/atom. As for the spin magnetization: 0.0 μB per formula unit. As for the mass density: 3296 kg/m³.